(1)
Li2EuSn | the Alexandria database | PBE | relaxed; total DFT energy (no corrections) = -0.352 Ry per atom; energy of formation from the pure elements = -0.267 eV per atom
1.0
4.541 0.000 0.000
0.000 4.707 0.000
0.000 0.000 4.707
Sn Li Eu
1 2 1
Direct
0.500 0.500 0.500
0.000 0.500 0.000
0.000 0.000 0.500
0.500 0.000 0.000

=====

(2)
Li2EuSn | the Alexandria database | PBE | relaxed; total DFT energy (no corrections) = -0.369 Ry per atom; energy of formation from the pure elements = -0.489 eV per atom
1.0
-2.762 -4.139 -0.133
2.102 -4.358 -1.167
0.585 -3.496 3.495
Li Sn Eu
2 1 1
Direct
0.000 0.000 0.000
0.500 0.500 0.500
0.250 0.250 0.250
0.750 0.750 0.750

=====

(3)
LiTbEuSn | the Alexandria database | PBE | relaxed; total DFT energy (no corrections) = -0.413 Ry per atom; energy of formation from the pure elements = -0.409 eV per atom
1.0
-5.120 1.570 0.446
-3.203 -2.290 3.657
-1.588 2.794 4.307
Sn Eu Li Tb
1 1 1 1
Direct
0.250 0.250 0.250
0.000 0.000 0.000
0.750 0.750 0.750
0.500 0.500 0.500